Record 1
The following is a PBE-GGA calculation of a relaxed structure of YHf2As2, from Alexandria via LeMat-Bulk.

Unit cell a=7.508 b=7.508 c=3.608 alpha=90.00 beta=90.00 gamma=90.00
Space group P4/mbm (No. 127)
Unique sites:
Y1 0.000 0.000 0.000
Hf1 0.152 0.348 0.500
As1 0.141 0.641 0.000

energy above the most stable polymorph in this dataset: 0 kJ/mol of formula units
formation energy: -0.874 eV/atom
total magnetization: 0.0 μB/cell
theoretical density: 9.73 g/cm³

***

Record 2
The following is a PBE-GGA calculation of a relaxed structure of Y4HfAs5, from Alexandria via LeMat-Bulk.

Unit cell a=9.061 b=9.061 c=5.745 alpha=90.00 beta=90.00 gamma=90.00
Space group I4/m (No. 87)
Unique sites:
Y1 0.096 0.301 0.000
Hf1 0.000 0.000 0.500
As1 0.000 0.000 0.000
As2 0.097 0.289 0.500

formation energy: -1.436 eV/atom
total magnetization: 0.0 μB/cell
theoretical density: 6.40 g/cm³